(1)
# Pr4Nd6Ho GGA-PBE relaxed
# - final energy (eV per formula unit) = -49.3
# - total magnetization (μB/atom) = 0.000
# - energy relative to the elements (kJ per mole of atoms) = 26.0
data_Pr4Nd6Ho
_cell_length_a 6.780
_cell_length_b 6.780
_cell_length_c 17.372
_cell_angle_alpha 90.00
_cell_angle_beta 90.00
_cell_angle_gamma 90.00
_space_group_name_H-M_alt 'I -4 2 m'
_space_group_IT_number 121
_space_group_name_Hall 'I -4 2'
loop_
_atom_site_label
_atom_site_type_symbol
_atom_site_fract_x
_atom_site_fract_y
_atom_site_fract_z
_atom_site_occupancy
Pr1 Pr 0.177 0.177 0.373 1
Nd1 Nd 0.000 0.500 0.000 1
Nd2 Nd 0.189 0.189 0.176 1
Ho1 Ho 0.000 0.000 0.000 1

***

(2)
# Pr3NdHo3 GGA-PBE relaxed
# - relative energy among the computed polymorphs (kJ/mol of formula units) = 109
# - final energy (eV per formula unit) = -31.5
# - total magnetization (μB/atom) = 0.000
# - energy relative to the elements (kJ per mole of atoms) = 18.4
data_Pr3NdHo3
_cell_length_a 8.7696
_cell_length_b 8.7696
_cell_length_c 22.2934
_cell_angle_alpha 90.00
_cell_angle_beta 90.00
_cell_angle_gamma 120.00
_space_group_name_H-M_alt 'R -3'
_space_group_IT_number 148
_space_group_name_Hall '-R 3'
loop_
_atom_site_label
_atom_site_type_symbol
_atom_site_fract_x
_atom_site_fract_y
_atom_site_fract_z
_atom_site_occupancy
Pr1 Pr 0.0467 0.4470 0.3814 1
Nd1 Nd 0.0000 0.0000 0.1561 1
Ho1 Ho 0.0049 0.2307 0.5581 1

***

(3)
# Pr3Nd5Ho4 GGA-PBE relaxed
# - relative energy among the computed polymorphs (kJ/mol of formula units) = 234
# - final energy (eV per formula unit) = -53.9
# - total magnetization (μB/atom) = 0.000
# - energy relative to the elements (kJ per mole of atoms) = 21.0
data_Pr3Nd5Ho4
_cell_length_a 16.322
_cell_length_b 6.049
_cell_length_c 9.385
_cell_angle_alpha 90.00
_cell_angle_beta 116.06
_cell_angle_gamma 90.00
_space_group_name_H-M_alt 'C 1 2/m 1'
_space_group_IT_number 12
loop_
_space_group_symop_operation_xyz
'x,y,z'
'-x,-y,-z'
'-x,y,-z'
'x,-y,z'
'x+1/2,y+1/2,z'
'-x+1/2,-y+1/2,-z'
'-x+1/2,y+1/2,-z'
'x+1/2,-y+1/2,z'
loop_
_atom_site_label
_atom_site_type_symbol
_atom_site_fract_x
_atom_site_fract_y
_atom_site_fract_z
_atom_site_occupancy
Pr1 Pr 0.000 0.000 0.000 1
Pr2 Pr 0.208 0.500 0.227 1
Nd1 Nd 0.000 0.500 0.000 1
Nd2 Nd 0.076 0.000 0.699 1
Nd3 Nd 0.173 0.000 0.386 1
Ho1 Ho 0.082 0.500 0.442 1
Ho2 Ho 0.211 0.500 0.876 1